*A*
Compound: K3TaNb
Source: Alexandria via LeMat-Bulk
Functional: PBE
Structure: optimized geometry

Computed properties:
- Volume: 41.7 A^3/atom

Cell lengths 5.928, 5.928, 5.928 Å; angles 90.00, 90.00, 90.00 degrees
Space group Pm-3m (No. 221)
Symmetry-distinct sites (fractional):
1 K 0.000 0.000 0.500 (multiplicity 3)
2 Ta 0.500 0.500 0.500 (multiplicity 1)
3 Nb 0.000 0.000 0.000 (multiplicity 1)

---

*B*
Compound: K3TaNb
Source: Alexandria via LeMat-Bulk
Functional: PBE
Structure: optimized geometry

Computed properties:
- Volume: 46.1 A^3/atom

Cell lengths 6.132, 6.132, 6.132 Å; angles 90.00, 90.00, 90.00 degrees
Space group Pm-3m (No. 221)
Symmetry-distinct sites (fractional):
1 K 0.000 0.000 0.500 (multiplicity 3)
2 Ta 0.000 0.000 0.000 (multiplicity 1)
3 Nb 0.500 0.500 0.500 (multiplicity 1)

---

Preferred: *A*; penalty for the next structure: 27 meV/atom.

---

*A*
Compound: KNbTc2
Source: Alexandria via LeMat-Bulk
Functional: PBE
Structure: optimized geometry

Computed properties:
- Volume: 27.1 A^3/atom

Cell lengths 4.980, 4.980, 17.512 Å; angles 90.00, 90.00, 90.00 degrees
Space group I4_1/amd (No. 141, origin choice 2)
Symmetry-distinct sites (fractional):
1 K 0.000 0.250 0.375 (multiplicity 4)
2 Nb 0.000 0.250 0.875 (multiplicity 4)
3 Tc 0.000 0.000 0.000 (multiplicity 8)

---

*B*
Compound: KNbTc2
Source: Alexandria via LeMat-Bulk
Functional: PBE
Structure: optimized geometry

Computed properties:
- Volume: 18.0 A^3/atom

Cell lengths 6.606, 6.606, 6.606 Å; angles 90.00, 90.00, 90.00 degrees
Space group Fm-3m (No. 225)
Symmetry-distinct sites (fractional):
1 K 0.000 0.000 0.000 (multiplicity 4)
2 Nb 0.000 0.000 0.500 (multiplicity 4)
3 Tc 0.250 0.250 0.250 (multiplicity 8)

---

Preferred: *B*; penalty for the next structure: 213 meV/atom.

---

*A*
Compound: K2NbTc
Source: Alexandria via LeMat-Bulk
Functional: PBE
Structure: optimized geometry

Computed properties:
- Volume: 46.3 A^3/atom

Cell lengths 12.837, 12.837, 4.499 Å; angles 90.00, 90.00, 90.00 degrees
Space group I-42d (No. 122)
Symmetry-distinct sites (fractional):
1 K 0.082 0.250 0.125 (multiplicity 8)
2 Nb 0.000 0.000 0.500 (multiplicity 4)
3 Tc 0.000 0.000 0.000 (multiplicity 4)

---

*B*
Compound: K2NbTc
Source: Alexandria via LeMat-Bulk
Functional: PBE
Structure: optimized geometry

Computed properties:
- Volume: 25.8 A^3/atom

Cell lengths 7.448, 7.448, 7.448 Å; angles 90.00, 90.00, 90.00 degrees
Space group Fm-3m (No. 225)
Symmetry-distinct sites (fractional):
1 K 0.250 0.250 0.250 (multiplicity 8)
2 Nb 0.000 0.000 0.000 (multiplicity 4)
3 Tc 0.000 0.000 0.500 (multiplicity 4)

---

Preferred: *A*; penalty for the next structure: 1118 meV/atom.